# 1
A relaxed Pm14YCd crystal. Source: Alexandria, functional PBE-GGA.

abc: 7.201 7.201 10.250
angles: 90.00 90.00 90.01
Sites, in units of the cell vectors:
Pm1 0.626 0.876 0.246
Pm2 0.626 0.876 0.754
Pm3 0.124 0.876 0.247
Pm4 0.124 0.374 0.754
Y1 0.375 0.625 0.000
Pm5 0.875 0.626 0.000
Pm6 0.374 0.125 0.000
Pm7 0.376 0.125 0.500
Pm8 0.626 0.374 0.754
Cd1 0.875 0.125 0.000
Pm9 0.124 0.876 0.753
Pm10 0.375 0.625 0.500
Pm11 0.875 0.624 0.500
Pm12 0.626 0.374 0.246
Pm13 0.124 0.374 0.246
Pm14 0.875 0.125 0.500

Values from the calculation:
The value obtained for the formation energy is -11 meV per atom. The electronic total energy comes out at -74.1 eV per cell.

---

# 2
A relaxed RbAgSbI2 crystal. Source: Alexandria, functional PBE-GGA.

abc: 6.100 6.100 5.430
angles: 90.00 90.00 90.00
Each line ends with the local moment (μB).
Sites, in units of the cell vectors:
Rb1 0.500 0.500 0.500  0.01
I1 0.000 0.500 0.000  0.07
I2 0.500 0.000 0.000  0.07
Sb1 0.000 0.000 0.500  0.56
Ag1 0.000 0.000 0.000  0.05

Values from the calculation:
The formation energy (no corrections) is -0.258 eV/atom. The electronic total energy comes out at -12.3 eV per cell.

---

# 3
A relaxed ReTe2Br crystal. Source: Alexandria, functional PBE-GGA.

abc: 3.148 3.148 10.940
angles: 90.00 90.00 115.92
Sites, in units of the cell vectors:
Br1 0.500 0.500 0.250
Te1 0.000 0.000 0.551
Te2 0.000 0.000 0.949
Re1 0.500 0.500 0.750

Values from the calculation:
The formation energy (no corrections) is 0.559 eV/atom. The electronic total energy comes out at -18.2 eV per cell.

---

# 4
A relaxed Tc2OsW crystal. Source: Alexandria, functional PBE-GGA.

abc: 2.754 2.754 7.913
angles: 90.00 90.00 90.00
Sites, in units of the cell vectors:
Tc1 0.000 0.000 0.511
Os1 0.500 0.500 0.750
Tc2 0.000 0.000 0.989
W1 0.500 0.500 0.250

Values from the calculation:
The value obtained for the formation energy is 118 meV per atom. The electronic total energy comes out at -44.4 eV per cell.

---

# 5
A relaxed La3CoPb crystal. Source: Alexandria, functional PBE-GGA.

abc: 4.556 8.776 7.631
angles: 90.00 90.00 90.00
Sites, in units of the cell vectors:
La1 0.000 0.528 0.271
La2 0.000 0.028 0.729
Pb1 0.500 0.250 0.508
Co1 0.000 0.750 0.679
Co2 0.000 0.250 0.321
La3 0.500 0.250 0.059
Pb2 0.500 0.750 0.492
La4 0.000 0.972 0.271
La5 0.500 0.750 0.941
La6 0.000 0.472 0.729

Values from the calculation:
The value obtained for the formation energy is -230 meV per atom. The electronic total energy comes out at -53.5 eV per cell.

---

# 6
A relaxed KHfIrO6 crystal. Source: Alexandria, functional PBE-GGA.

abc: 5.393 5.393 5.989
angles: 90.00 90.00 60.00
Each line ends with the local moment (μB).
Sites, in units of the cell vectors:
K1 0.000 0.000 0.000  0.00
O1 0.605 0.373 0.683  0.12
O2 0.022 0.373 0.317  0.12
O3 0.605 0.022 0.317  0.12
Hf1 0.667 0.667 0.500  0.05
O4 0.373 0.605 0.317  0.12
O5 0.022 0.605 0.683  0.12
O6 0.373 0.022 0.683  0.12
Ir1 0.333 0.333 0.500  0.95

Values from the calculation:
The formation energy (no corrections) is -1.663 eV/atom. The electronic total energy comes out at -64.6 eV per cell.

---

# 7
A relaxed Sr2AlWS crystal. Source: Alexandria, functional PBE-GGA.

abc: 6.225 4.522 6.225
angles: 90.00 90.00 90.00
Each line ends with the local moment (μB).
Sites, in units of the cell vectors:
W1 0.500 0.500 0.500  3.16
Sr1 0.500 0.000 0.000  0.04
Sr2 0.000 0.000 0.500  0.03
Al1 0.000 0.000 0.000  0.00
S1 0.000 0.500 0.000  0.00

Values from the calculation:
The formation energy (no corrections) is 1.036 eV/atom. The electronic total energy comes out at -19.0 eV per cell.

---

# 8
A relaxed LiSiSe2 crystal. Source: Alexandria, functional PBE-GGA.

abc: 7.979 5.975 2.779
angles: 62.04 110.72 138.59
Sites, in units of the cell vectors:
Se1 0.000 0.000 0.000
Si1 0.000 0.500 0.500
Li1 0.500 0.500 0.000
Se2 0.500 0.000 0.500

Values from the calculation:
The formation energy (no corrections) is -0.343 eV/atom. The electronic total energy comes out at -15.7 eV per cell.

---

# 9
A relaxed NdDyTh2 crystal. Source: Alexandria, functional PBE-GGA.

abc: 3.564 3.564 10.312
angles: 90.00 90.00 90.00
Sites, in units of the cell vectors:
Dy1 0.500 0.500 0.000
Th1 0.000 0.000 0.245
Th2 0.000 0.000 0.755
Nd1 0.500 0.500 0.500

Values from the calculation:
The value obtained for the formation energy is 74 meV per atom. The electronic total energy comes out at -23.9 eV per cell.

---

# 10
A relaxed Ac3CdAg crystal. Source: Alexandria, functional PBE-GGA.

abc: 5.700 5.703 11.191
angles: 90.00 75.25 90.00
Sites, in units of the cell vectors:
Ac1 0.575 0.250 0.499
Ag1 0.166 0.250 0.317
Cd1 0.980 0.250 0.688
Ac2 0.391 0.250 0.866
Ac3 0.073 0.750 0.501
Ac4 0.889 0.750 0.870
Ac5 0.759 0.250 0.130
Ag2 0.483 0.750 0.683
Cd2 0.668 0.750 0.312
Ac6 0.257 0.750 0.134

Values from the calculation:
The value obtained for the formation energy is -208 meV per atom. The electronic total energy comes out at -34.3 eV per cell.

---

# 11
A relaxed Cu2ReAg crystal. Source: Alexandria, functional PBE-GGA.

abc: 4.795 4.795 2.576
angles: 90.05 90.05 106.32
Each line ends with the local moment (μB).
Sites, in units of the cell vectors:
Ag1 0.000 0.500 0.500  0.01
Cu1 0.000 0.000 0.000  0.02
Re1 0.500 0.000 0.500  0.17
Cu2 0.500 0.500 0.000  0.02

Values from the calculation:
The value obtained for the formation energy is 407 meV per atom. The electronic total energy comes out at -21.9 eV per cell.

---

# 12
A relaxed Pr6Sm5Dy2 crystal. Source: Alexandria, functional PBE-GGA.

abc: 3.664 11.857 20.985
angles: 90.00 90.00 90.00
Sites, in units of the cell vectors:
Pr1 0.000 0.938 0.919
Dy1 0.000 0.168 0.790
Pr2 0.000 0.917 0.632
Sm1 0.500 0.911 0.773
Pr3 0.500 0.826 0.363
Pr4 0.500 0.674 0.863
Dy2 0.000 0.832 0.210
Sm2 0.500 0.500 0.000
Pr5 0.500 0.174 0.637
Pr6 0.000 0.583 0.132
Pr7 0.500 0.326 0.137
Pr8 0.000 0.562 0.419
Pr9 0.000 0.417 0.868
Sm3 0.500 0.803 0.055
Sm4 0.500 0.089 0.227
Pr10 0.000 0.062 0.081
Dy3 0.000 0.332 0.290
Pr11 0.000 0.438 0.581
Sm5 0.500 0.000 0.500
Sm6 0.500 0.589 0.273
Sm7 0.500 0.411 0.727
Sm8 0.500 0.197 0.945
Sm9 0.500 0.697 0.555
Dy4 0.000 0.668 0.710
Pr12 0.000 0.083 0.368
Sm10 0.500 0.303 0.445

Values from the calculation:
The value obtained for the formation energy is 94 meV per atom. The electronic total energy comes out at -120.5 eV per cell.

---

# 13
A relaxed CsLiGeO3 crystal. Source: Alexandria, functional PBE-GGA.

abc: 5.512 5.883 6.103
angles: 118.82 90.00 90.00
Sites, in units of the cell vectors:
Ge1 0.250 0.053 0.106
O1 0.500 0.214 0.000
O2 0.000 0.214 0.000
O3 0.250 0.217 0.434
Li1 0.250 0.415 0.830
O4 0.750 0.783 0.566
O5 0.000 0.786 0.000
Cs1 0.250 0.726 0.453
Li2 0.750 0.585 0.170
O6 0.500 0.786 0.000
Ge2 0.750 0.947 0.894
Cs2 0.750 0.274 0.547

Values from the calculation:
The formation energy (no corrections) is -1.690 eV/atom. The electronic total energy comes out at -64.8 eV per cell.

---

# 14
A relaxed PuAl4Cu8 crystal. Source: Alexandria, functional PBE-GGA.

abc: 5.078 6.586 6.586
angles: 81.45 67.33 67.33
Each line ends with the local moment (μB).
Sites, in units of the cell vectors:
Al1 0.500 0.000 0.500  0.00
Cu1 0.000 0.351 0.649  0.02
Cu2 0.281 0.219 0.219  0.01
Cu3 0.649 0.351 0.351  0.02
Cu4 0.000 0.649 0.351  0.02
Cu5 0.351 0.649 0.649  0.02
Pu1 0.000 0.000 0.000  5.17
Al2 0.500 0.500 0.000  0.00
Cu6 0.719 0.781 0.781  0.01
Cu7 0.500 0.781 0.219  0.01
Al3 0.000 0.500 0.000  0.00
Al4 0.000 0.000 0.500  0.00
Cu8 0.500 0.219 0.781  0.01

Values from the calculation:
The value obtained for the formation energy is -152 meV per atom. The electronic total energy comes out at -64.0 eV per cell.

---

# 15
A relaxed HoEr4Al4 crystal. Source: Alexandria, functional PBE-GGA.

abc: 5.683 8.821 8.821
angles: 90.00 90.00 90.00
Sites, in units of the cell vectors:
Er1 0.390 0.426 0.837
Al1 0.405 0.805 0.904
Al2 0.595 0.096 0.805
Er2 0.610 0.163 0.426
Al3 0.095 0.695 0.596
Er3 0.890 0.663 0.926
Er4 0.890 0.337 0.074
Er5 0.390 0.574 0.163
Al4 0.905 0.596 0.305
Ho1 0.500 0.500 0.500
Al5 0.405 0.195 0.096
Ho2 0.000 0.000 0.000
Al6 0.595 0.904 0.195
Al7 0.905 0.404 0.695
Er6 0.610 0.837 0.574
Er7 0.110 0.074 0.663
Er8 0.110 0.926 0.337
Al8 0.095 0.305 0.404

Values from the calculation:
The value obtained for the formation energy is -156 meV per atom. The electronic total energy comes out at -78.4 eV per cell.

---

# 16
A relaxed LiPrTmMn crystal. Source: Alexandria, functional PBE-GGA.

abc: 5.107 5.107 5.107
angles: 60.00 60.00 60.00
Each line ends with the local moment (μB).
Sites, in units of the cell vectors:
Mn1 0.750 0.750 0.750  3.29
Li1 0.250 0.250 0.250  -0.06
Tm1 0.000 0.000 0.000  -0.34
Pr1 0.500 0.500 0.500  -0.22

Values from the calculation:
The value obtained for the formation energy is 148 meV per atom. The electronic total energy comes out at -19.7 eV per cell.

---

# 17
A relaxed ZrIrPd3 crystal. Source: Alexandria, functional PBE-GGA.

abc: 4.787 4.787 4.787
angles: 90.00 90.00 90.00
Sites, in units of the cell vectors:
Zr1 0.500 0.500 0.500
Pd1 0.000 0.000 0.500
Pd2 0.500 0.000 0.000
Pd3 0.000 0.500 0.000
Ir1 0.000 0.000 0.000

Values from the calculation:
The value obtained for the formation energy is 927 meV per atom. The electronic total energy comes out at -28.4 eV per cell.

---

# 18
A relaxed Tb2Mg2Sc3 crystal. Source: Alexandria, functional PBE-GGA.

abc: 5.282 5.282 8.103
angles: 90.07 108.97 119.97
Sites, in units of the cell vectors:
Tb1 0.567 0.284 0.850
Tb2 0.433 0.716 0.150
Sc1 0.277 0.138 0.415
Sc2 0.000 0.000 0.000
Mg1 0.132 0.567 0.699
Mg2 0.868 0.433 0.301
Sc3 0.723 0.862 0.585

Values from the calculation:
The value obtained for the formation energy is 60 meV per atom. The electronic total energy comes out at -31.0 eV per cell.

---

# 19
A relaxed Mn3HOs crystal. Source: Alexandria, functional PBE-GGA.

abc: 13.340 4.527 4.527
angles: 131.96 142.46 37.54
Each line ends with the local moment (μB).
Sites, in units of the cell vectors:
H1 0.050 0.072 0.928  0.01
Os1 0.433 0.944 0.056  -0.01
Mn1 0.937 0.437 0.563  -1.27
Os2 0.567 0.056 0.944  -0.01
Mn2 0.195 0.677 0.323  -1.17
Mn3 0.805 0.323 0.677  -1.17
Mn4 0.698 0.170 0.830  1.99
H2 0.950 0.928 0.072  0.01
Mn5 0.063 0.563 0.437  -1.27
Mn6 0.302 0.830 0.170  1.99

Values from the calculation:
The electronic total energy comes out at -83.9 eV per cell.

---

# 20
A relaxed NaAc3Pm3Se8 crystal. Source: Alexandria, functional PBE-GGA.

abc: 8.574 8.574 8.662
angles: 119.67 90.00 120.00
Sites, in units of the cell vectors:
Ac1 0.500 0.500 0.000
Se1 0.249 0.989 0.738
Se2 0.751 0.502 0.262
Se3 0.249 0.498 0.738
Ac2 0.000 0.500 0.000
Se4 0.744 0.488 0.732
Se5 0.751 0.011 0.262
Se6 0.256 0.512 0.268
Se7 0.260 0.011 0.262
Na1 0.000 0.000 0.500
Se8 0.740 0.989 0.738
Pm1 0.500 0.000 0.500
Pm2 0.000 0.500 0.500
Ac3 0.000 0.000 0.000
Pm3 0.500 0.500 0.500

Values from the calculation:
The formation energy (no corrections) is -1.829 eV/atom. The electronic total energy comes out at -83.2 eV per cell.

---

# 21
A relaxed NaGa2 crystal. Source: Alexandria, functional PBE-GGA.

abc: 5.636 5.636 5.636
angles: 60.00 60.00 60.00
Sites, in units of the cell vectors:
Na1 0.000 0.000 0.000
Ga1 0.625 0.125 0.625
Na2 0.250 0.250 0.250
Ga2 0.625 0.625 0.125
Ga3 0.125 0.625 0.625
Ga4 0.625 0.625 0.625

Values from the calculation:
The value obtained for the formation energy is -114 meV per atom. The electronic total energy comes out at -15.4 eV per cell.

---

# 22
A relaxed Ho5TcNi crystal. Source: Alexandria, functional PBE-GGA.

abc: 8.242 8.242 9.298
angles: 64.32 64.32 111.16
Sites, in units of the cell vectors:
Tc1 0.749 0.751 0.750
Ho1 0.103 0.397 0.750
Ho2 0.108 0.804 0.438
Ho3 0.304 0.608 0.938
Ho4 0.786 0.952 0.360
Ni1 0.500 0.500 0.500
Ho5 0.214 0.048 0.640
Tc2 0.251 0.249 0.250
Ho6 0.892 0.196 0.562
Ho7 0.548 0.714 0.140
Ho8 0.696 0.392 0.062
Ho9 0.897 0.603 0.250
Ho10 0.452 0.286 0.860
Ni2 0.000 0.000 0.000

Values from the calculation:
The value obtained for the formation energy is -73 meV per atom. The electronic total energy comes out at -79.1 eV per cell.